Ta2CICl PBE optimized geometry; symmetry = No. 123; magnetic moment = 2.4 μB per cell; energy relative to the elements, uncorrected = 2662 meV per atom
1.0
-2.5237 3.8147 -2.4768
-0.1673 -2.3421 -3.4368
-4.5434 -1.9842 1.5734
I C Cl Ta
1 1 1 2
direct
0.0000 0.0000 0.0000 I
0.0000 0.5000 0.0000 C
0.5000 0.5000 0.5000 Cl
0.0000 0.0000 0.5000 Ta
0.5000 0.0000 0.0000 Ta

TaCI2Cl PBE optimized geometry; symmetry = No. 123; magnetic moment = 0.8 μB per cell; energy relative to the elements, uncorrected = 677 meV per atom
1.0
-0.0566 4.4683 -3.3632
-2.8705 1.7456 2.3675
4.0023 2.3815 3.0968
I C Cl Ta
2 1 1 1
direct
0.0000 0.0000 0.5000 I
0.5000 0.0000 0.0000 I
0.0000 0.5000 0.0000 C
0.5000 0.5000 0.5000 Cl
0.0000 0.0000 0.0000 Ta